(1)
## TbDy2Si4Ni4 (PBE-GGA)

Data for a geometry-optimized TbDy2Si4Ni4 structure.

Results
For the total energy, the calculation gives -66.406 eV for the cell shown.

abc: 7.701 7.701 7.701
angles: 149.59 129.52 60.08
Positions (direct):
Ni: 0.374 0.677 0.696
Ni: 0.019 0.323 0.696
Ni: 0.626 0.323 0.304
Tb: 0.000 0.000 0.000
Dy: 0.371 0.871 0.500
Si: 0.782 0.782 0.000
Si: 0.218 0.218 0.000
Dy: 0.629 0.129 0.500
Si: 0.313 0.500 0.813
Ni: 0.981 0.677 0.304
Si: 0.687 0.500 0.187


(2)
## TbDySi4Ni2 (PBE-GGA)

Data for a geometry-optimized TbDySi4Ni2 structure.

Results
For the total energy, the calculation gives -48.797 eV for the cell shown.

abc: 3.979 8.417 8.417
angles: 27.52 90.00 90.00
Positions (direct):
Ni: 0.500 0.178 0.178
Ni: 0.000 0.822 0.822
Si: 0.000 0.250 0.250
Si: 0.500 0.750 0.750
Si: 0.000 0.960 0.960
Tb: 0.500 0.395 0.395
Dy: 0.000 0.606 0.606
Si: 0.500 0.040 0.040


(3)
## DyTmSi2Ni2 (PBE-GGA)

Data for a geometry-optimized DyTmSi2Ni2 structure.

Results
For the total energy, the calculation gives -35.796 eV for the cell shown.

abc: 4.050 4.050 6.375
angles: 90.00 90.00 90.00
Positions (direct):
Si: 0.500 0.500 0.195
Tm: 0.500 0.500 0.684
Ni: 0.000 0.500 0.998
Dy: 0.000 0.000 0.321
Si: 0.000 0.000 0.803
Ni: 0.500 0.000 0.998


(4)
## DyTmSi2Ni (PBE-GGA)

Data for a geometry-optimized DyTmSi2Ni structure.

Results
For the total energy, the calculation gives -59.225 eV for the cell shown.

abc: 5.496 5.496 9.950
angles: 115.93 115.93 44.50
Positions (direct):
Tm: 0.993 0.993 0.170
Si: 0.647 0.647 0.063
Dy: 0.811 0.811 0.395
Si: 0.353 0.353 0.937
Ni: 0.727 0.727 0.859
Ni: 0.273 0.273 0.141
Tm: 0.007 0.007 0.830
Si: 0.492 0.492 0.622
Si: 0.508 0.508 0.378
Dy: 0.189 0.189 0.605


(5)
## DyTmSi4Ni2 (PBE-GGA)

Data for a geometry-optimized DyTmSi4Ni2 structure.

Results
For the total energy, the calculation gives -48.525 eV for the cell shown.

abc: 3.952 8.427 8.427
angles: 27.18 90.00 90.00
Positions (direct):
Si: 0.500 0.751 0.751
Si: 0.000 0.250 0.250
Ni: 0.500 0.177 0.177
Si: 0.000 0.960 0.960
Tm: 0.500 0.394 0.394
Si: 0.500 0.039 0.039
Dy: 0.000 0.605 0.605
Ni: 0.000 0.823 0.823


(6)
## DyY2Si4Ni4 (PBE-GGA)

Data for a geometry-optimized DyY2Si4Ni4 structure.

Results
For the total energy, the calculation gives -70.098 eV for the cell shown.

abc: 7.695 7.695 7.695
angles: 149.56 129.40 60.20
Positions (direct):
Y: 0.372 0.872 0.500
Ni: 0.372 0.677 0.695
Si: 0.688 0.500 0.188
Ni: 0.018 0.323 0.695
Si: 0.782 0.782 0.000
Dy: 0.000 0.000 0.000
Si: 0.218 0.218 0.000
Ni: 0.628 0.323 0.305
Y: 0.628 0.128 0.500
Si: 0.312 0.500 0.812
Ni: 0.982 0.677 0.305


(7)
## Dy2YSi4Ni4 (PBE-GGA)

Data for a geometry-optimized Dy2YSi4Ni4 structure.

Results
For the total energy, the calculation gives -68.270 eV for the cell shown.

abc: 7.685 7.685 7.685
angles: 149.55 129.53 60.10
Positions (direct):
Si: 0.782 0.782 0.000
Dy: 0.371 0.871 0.500
Ni: 0.627 0.323 0.304
Y: 0.000 0.000 0.000
Si: 0.688 0.500 0.188
Si: 0.312 0.500 0.812
Ni: 0.981 0.677 0.304
Si: 0.218 0.218 0.000
Ni: 0.373 0.677 0.696
Ni: 0.019 0.323 0.696
Dy: 0.629 0.129 0.500


(8)
## Dy3Zn2Si4Ni2 (PBE-GGA)

Data for a geometry-optimized Dy3Zn2Si4Ni2 structure.

Results
The value obtained for the energy above the most stable polymorph in this dataset is 0 meV/atom. For the total energy, the calculation gives -56.994 eV for the cell shown.

abc: 12.223 12.223 12.223
angles: 161.27 160.95 26.84
Positions (direct):
Zn: 0.900 0.400 0.500
Si: 0.201 0.701 0.500
Dy: 0.653 0.153 0.500
Ni: 0.749 0.749 0.000
Si: 0.451 0.451 0.000
Si: 0.799 0.299 0.500
Ni: 0.251 0.251 0.000
Si: 0.549 0.549 0.000
Dy: 0.000 0.000 0.000
Dy: 0.347 0.847 0.500
Zn: 0.100 0.600 0.500